A plane-wave DFT calculation with PBE-GGA was carried out for an optimized crystal structure of Pr2NdDySb4.

Geometry as POSCAR:
```
Pr2NdDySb4
1.0
4.510 0.000 0.000
0.000 7.804 -0.153
0.000 2.747 7.306
Pr Nd Dy Sb
2 1 1 4
direct
0.000 0.000 0.000
0.500 0.000 0.500
0.500 0.500 0.000
0.000 0.500 0.500
0.000 0.745 0.748
0.000 0.255 0.252
0.500 0.742 0.257
0.500 0.258 0.743
```

Properties
E_form (uncorrected) in eV/atom: -1.171